No. 1
Hf4GeAsC2 | PBE | optimized geometry Values from VASP.

Calculated values
crystal system	hexagonal
total magnetization	0.002	μB/f.u.
raw total energy	-9.34	eV/atom

```
&SYSTEM
  ibrav = 0, nat = 8, ntyp = 4
/
ATOMIC_SPECIES
As 74.92 As.upf
C 12.01 C.upf
Ge 72.64 Ge.upf
Hf 178.49 Hf.upf
ATOMIC_POSITIONS crystal
As 0.0000 0.0000 0.0000
C 0.3333 0.6667 0.2433
C 0.3333 0.6667 0.7567
Ge 0.6667 0.3333 0.5000
Hf 0.6667 0.3333 0.1477
Hf 0.0000 0.0000 0.3373
Hf 0.0000 0.0000 0.6627
Hf 0.6667 0.3333 0.8523
CELL_PARAMETERS angstrom
-0.0832 -3.3214 -0.5100
1.7732 1.2633 2.5611
-10.4863 -0.9218 7.7149
```

No. 2
Lu4GeAsC2 | PBE | optimized geometry Values from VASP.

Calculated values
crystal system	hexagonal
total magnetization	0.006	μB/f.u.
raw total energy	-6.40	eV/atom

```
&SYSTEM
  ibrav = 0, nat = 8, ntyp = 4
/
ATOMIC_SPECIES
As 74.92 As.upf
C 12.01 C.upf
Ge 72.64 Ge.upf
Lu 174.97 Lu.upf
ATOMIC_POSITIONS crystal
As 0.0000 0.0000 0.0000
C 0.3333 0.6667 0.2442
C 0.3333 0.6667 0.7558
Ge 0.6667 0.3333 0.5000
Lu 0.6667 0.3333 0.1519
Lu 0.0000 0.0000 0.3361
Lu 0.0000 0.0000 0.6639
Lu 0.6667 0.3333 0.8481
CELL_PARAMETERS angstrom
-2.3606 -1.9204 -1.7782
0.6935 -0.7431 3.3748
-10.2612 8.8554 4.0583
```

No. 3
Ta4GeAsC2 | PBE | optimized geometry Values from VASP.

Calculated values
crystal system	hexagonal
total magnetization	0.001	μB/f.u.
raw total energy	-9.92	eV/atom

```
&SYSTEM
  ibrav = 0, nat = 8, ntyp = 4
/
ATOMIC_SPECIES
As 74.92 As.upf
C 12.01 C.upf
Ge 72.64 Ge.upf
Ta 180.95 Ta.upf
ATOMIC_POSITIONS crystal
As 0.0000 0.0000 0.0000
C 0.3333 0.6667 0.2480
C 0.3333 0.6667 0.7520
Ge 0.6667 0.3333 0.5000
Ta 0.6667 0.3333 0.1538
Ta 0.0000 0.0000 0.3410
Ta 0.0000 0.0000 0.6590
Ta 0.6667 0.3333 0.8462
CELL_PARAMETERS angstrom
3.3037 0.0000 0.0000
-1.6519 2.8611 0.0000
0.0000 0.0000 12.1605
```

No. 4
Tm4GeAsC2 | PBE | optimized geometry Values from VASP.

Calculated values
crystal system	hexagonal
total magnetization	0.013	μB/f.u.
raw total energy	-6.35	eV/atom

```
&SYSTEM
  ibrav = 0, nat = 8, ntyp = 4
/
ATOMIC_SPECIES
As 74.92 As.upf
C 12.01 C.upf
Ge 72.64 Ge.upf
Tm 168.93 Tm.upf
ATOMIC_POSITIONS crystal
As 0.0000 0.0000 0.5000
C 0.3333 0.6667 0.2563
C 0.3333 0.6667 0.7437
Ge 0.6667 0.3333 0.0000
Tm 0.0000 0.0000 0.1632
Tm 0.6667 0.3333 0.3496
Tm 0.6667 0.3333 0.6504
Tm 0.0000 0.0000 0.8368
CELL_PARAMETERS angstrom
3.5618 0.0000 0.0000
-1.7809 3.0846 0.0000
0.0000 0.0000 14.2764
```